# U5Se5O2

A relaxed structure of U5Se5O2 (PBE, Alexandria).

Calculated values
Raw formation energy ... -144.7 kJ/mol of atoms
Density of states at the Fermi level ... 25.05 states/eV/f.u.
M_tot ... 3.07 μB/cell
SG ... C2/m (12)
Uncorrected energy ... -8.481 eV per atom

a = 6.8234 Å, b = 6.8234 Å, c = 10.9149 Å
α = 106.71°, β = 106.71°, γ = 32.35°
Fractional positions:
U 0.0000 0.0000 0.0000
U 0.0992 0.0992 0.3756
U 0.3417 0.3417 0.2062
U 0.6583 0.6583 0.7938
U 0.9008 0.9008 0.6244
Se 0.2411 0.2411 0.6393
Se 0.3323 0.3323 0.9326
Se 0.5000 0.5000 0.5000
Se 0.6677 0.6677 0.0674
Se 0.7589 0.7589 0.3607
O 0.0428 0.0428 0.8000
O 0.9572 0.9572 0.2000